{"formula": "Zn2Ag", "functional": "PBE-GGA", "state": "relaxed", "spacegroup": "I4/mmm, No. 139", "delta_e_f_ev_per_atom": -0.02, "cell": [[-1.419, 1.419, 5.868], [1.419, -1.419, 5.868], [1.419, 1.419, -5.868]], "species": ["Zn", "Zn", "Ag"], "frac_coords": [[0.172, 0.172, 0.000], [0.828, 0.828, 0.000], [0.500, 0.500, 0.000]]}